Ba5Na4Ni | PBE | optimized geometry

Calculated values
Energy of formation   0.14 eV per formula unit

The structure in CIF format:
```
data_Ba5Na4Ni
_chemical_formula_sum 'Ba10 Na8 Ni2'
_cell_length_a 12.6725
_cell_length_b 12.6725
_cell_length_c 6.1328
_cell_angle_alpha 90.00
_cell_angle_beta 90.00
_cell_angle_gamma 90.00
_space_group_name_H-M_alt 'I 4/m m m'
_space_group_IT_number 139
_space_group_name_Hall '-I 4 2'
loop_
_atom_site_label
_atom_site_fract_x
_atom_site_fract_y
_atom_site_fract_z
Ba1 0.0000 0.0000 0.0000
Ba2 0.1689 0.1689 0.5000
Na1 0.0000 0.3478 0.0000
Ni1 0.0000 0.0000 0.5000
```